# InAsN2F

InAsN2F after structural relaxation (PBE, Alexandria via LeMat-Bulk).

Values from the calculation:
Formation energy (no corrections) in eV/f.u.: 1.952
Symmetry: P4/mmm
Density in Mg/m³: 6.3
Distance to the lowest polymorph of the same formula in meV per atom: 0.0
Volume in Å³/atom: 12.568

```
data_InAsN2F
_cell_length_a 3.9640
_cell_length_b 3.9640
_cell_length_c 3.9992
_cell_angle_alpha 90.00
_cell_angle_beta 90.00
_cell_angle_gamma 90.00
_symmetry_space_group_name_H-M 'P 1'
_symmetry_Int_Tables_number 1
loop_
_symmetry_equiv_pos_as_xyz
'x,y,z'
loop_
_atom_site_label
_atom_site_type_symbol
_atom_site_fract_x
_atom_site_fract_y
_atom_site_fract_z
_atom_site_occupancy
N1 N 0.0000 0.5000 0.0000 1
N2 N 0.5000 0.0000 0.0000 1
As1 As 0.0000 0.0000 0.0000 1
F1 F 0.0000 0.0000 0.5000 1
In1 In 0.5000 0.5000 0.5000 1
```